Entry 1:
Below is crystalline Pr2As4Pt3Rh at its relaxed geometry, with properties calculated at the PBE level.

The structure in POSCAR format:
```
Pr2As4Pt3Rh
1.0
4.4277 0.0000 0.0000
0.0000 4.4277 0.0000
0.0000 0.0000 10.0236
Pr As Pt Rh
2 4 3 1
direct
0.0000 0.5000 0.2480 Pr
0.5000 0.0000 0.7520 Pr
0.0000 0.0000 0.5000 As
0.0000 0.5000 0.8707 As
0.5000 0.0000 0.1293 As
0.5000 0.5000 0.5000 As
0.0000 0.0000 0.0000 Pt
0.0000 0.5000 0.6231 Pt
0.5000 0.0000 0.3769 Pt
0.5000 0.5000 0.0000 Rh
```

- Fermi-level density of states: 5.32 states/eV/cell
- Calculated density: 10.73 g/cm3
- Formation energy from the elements: -86.1 kJ per mole of atoms
- Volume: 196.51 Å³ per cell

=====

Entry 2:
Below is crystalline Tb3Bi at its relaxed geometry, with properties calculated at the PBE level.

The structure in POSCAR format:
```
Tb3Bi
1.0
6.6072 0.0000 0.0000
0.0000 4.0760 0.0000
-1.7180 0.0000 9.4119
Tb Bi
6 2
direct
0.0909 0.2500 0.3623 Tb
0.2715 0.7500 0.0926 Tb
0.4073 0.7500 0.6271 Tb
0.5927 0.2500 0.3729 Tb
0.7285 0.2500 0.9074 Tb
0.9091 0.7500 0.6377 Tb
0.2138 0.2500 0.8395 Bi
0.7862 0.7500 0.1605 Bi
```

- Fermi-level density of states: 9.67 states/eV/cell
- Calculated density: 8.98 g/cm3
- Formation energy from the elements: -34.0 kJ per mole of atoms
- Volume: 253.47 Å³ per cell

=====

Entry 3:
Below is crystalline MoRh4 at its relaxed geometry, with properties calculated at the PBE level.

The structure in POSCAR format:
```
MoRh4
1.0
4.6158 0.0000 0.0000
0.0000 4.6158 0.0000
0.0000 0.0000 4.6158
Mo Rh
1 4
direct
0.0000 0.0000 0.0000 Mo
0.0000 0.0000 0.5000 Rh
0.0000 0.5000 0.0000 Rh
0.5000 0.0000 0.0000 Rh
0.5000 0.5000 0.5000 Rh
```

- Fermi-level density of states: 8.47 states/eV/cell
- Calculated density: 8.57 g/cm3
- Formation energy from the elements: 131.7 kJ per mole of atoms
- Volume: 98.34 Å³ per cell

=====

Entry 4:
Below is crystalline ErTcC at its relaxed geometry, with properties calculated at the PBE level.

The structure in POSCAR format:
```
ErTcC
1.0
8.3658 0.0000 0.0000
0.0000 4.3082 0.0000
-0.2681 0.0000 5.7907
Er Tc C
4 4 4
direct
0.1888 0.0277 0.2242 Er
0.1888 0.4723 0.7242 Er
0.8112 0.5277 0.2758 Er
0.8112 0.9723 0.7758 Er
0.4742 0.7367 0.1034 Tc
0.4742 0.7633 0.6034 Tc
0.5258 0.2367 0.3966 Tc
0.5258 0.2633 0.8966 Tc
0.3232 0.5333 0.3543 C
0.3232 0.9667 0.8543 C
0.6768 0.0333 0.1457 C
0.6768 0.4667 0.6457 C
```

- Offset from the most stable computed form: 0.0896 eV/atom
- Fermi-level density of states: 5.83 states/eV/cell
- Calculated density: 8.82 g/cm3
- Formation energy from the elements: -12.3 kJ per mole of atoms
- Volume: 208.70 Å³ per cell

=====

Entry 5:
Below is crystalline PmPrCl6 at its relaxed geometry, with properties calculated at the PBE level.

The structure in POSCAR format:
```
PmPrCl6
1.0
3.5328 -6.0949 0.0000
3.5328 6.0949 0.0000
-0.5149 0.0000 7.4758
Pm Pr Cl
1 1 6
direct
0.0000 0.0000 0.0000 Pm
0.0000 0.0000 0.5000 Pr
0.9996 0.2904 0.7636 Cl
0.0004 0.7096 0.2364 Cl
0.2904 0.9996 0.7636 Cl
0.2903 0.2903 0.2643 Cl
0.7096 0.0004 0.2364 Cl
0.7097 0.7097 0.7357 Cl
```

- Offset from the most stable computed form: 0.0507 eV/atom
- Fermi-level density of states: 0.00 states/eV/cell
- Calculated density: 2.57 g/cm3
- Raw formation energy: -17.5 eV/f.u.
- Volume: 321.93 Å³ per cell

=====

Entry 6:
Below is crystalline Li2ReNi at its relaxed geometry, with properties calculated at the PBE level.

The structure in POSCAR format:
```
Li2ReNi
1.0
2.5164 0.0000 0.0000
0.0000 4.5824 0.0000
-0.2367 0.0000 4.5236
Li Re Ni
2 1 1
direct
0.1819 0.0000 0.2489 Li
0.8181 0.0000 0.7511 Li
0.5000 0.5000 0.0000 Re
0.0000 0.5000 0.5000 Ni
```

- Offset from the most stable computed form: 0.0848 eV/atom
- Fermi-level density of states: 3.81 states/eV/cell
- Calculated density: 8.24 g/cm3
- Formation energy from the elements: 18.7 kJ per mole of atoms
- Volume: 52.16 Å³ per cell